# 1
The following is a DFT calculation (GGA-PBE) of a relaxed Pm2PrDy5 crystal.

Electronic total energy in eV/atom: -4.4907
Energy of formation from the pure elements in eV/atom: 0.171
Magnetic moment in Bohr magnetons per cell: 0.0
N(E_F) in states/eV/f.u.: 11.891
Crystal system: monoclinic

Lattice parameters (Å, degrees): 16.4184 9.9727 6.5060 90.00 97.71 90.00
Space group C2/c (No. 15)
Asymmetric unit:
Pm 0.0761 0.2471 0.1131
Pr 0.2500 0.2500 0.0000
Dy 0.0000 0.4431 0.7500
Dy 0.0986 0.0885 0.6416
Dy 0.1959 0.4096 0.5207



# 2
The following is a DFT calculation (GGA-PBE) of a relaxed Pr2AlVS6 crystal.

Electronic total energy in eV/atom: -6.2058
ΔE_f (raw) in eV/f.u.: -14.9
Magnetic moment in Bohr magnetons per cell: 4.0
N(E_F) in states/eV/f.u.: 5.227
Crystal system: monoclinic

Lattice parameters (Å, degrees): 6.3843 6.9565 11.1942 90.00 124.47 90.00
Space group P2_1/c (No. 14)
Asymmetric unit:
Pr 0.2153 0.0968 0.2512
Al 0.5000 0.0000 0.0000
V 0.0000 0.0000 0.5000
S 0.1358 0.1879 0.9511
S 0.2656 0.6918 0.9500
S 0.3568 0.0154 0.7512



# 3
The following is a DFT calculation (GGA-PBE) of a relaxed ScAl2In crystal.

Electronic total energy in eV/atom: -4.3976
Energy of formation from the pure elements in eV/atom: -0.259
Magnetic moment in Bohr magnetons per cell: 0.0
N(E_F) in states/eV/f.u.: 2.754
Crystal system: tetragonal

Lattice parameters (Å, degrees): 4.1594 4.1594 9.1603 90.00 90.00 90.00
Space group I4/mmm (No. 139)
Asymmetric unit:
Sc 0.0000 0.0000 0.0000
Al 0.0000 0.5000 0.2500
In 0.0000 0.0000 0.5000



# 4
The following is a DFT calculation (GGA-PBE) of a relaxed CuHg2Br6 crystal.

Electronic total energy in eV/atom: -1.9962
ΔE_f (raw) in eV/f.u.: -3.2
Magnetic moment in Bohr magnetons per cell: 4.0
N(E_F) in states/eV/f.u.: 0.097
Crystal system: monoclinic

Lattice parameters (Å, degrees): 14.7544 13.5496 7.4598 90.00 113.92 90.00
Space group C2/c (No. 15)
Asymmetric unit:
Cu 0.0000 0.1860 0.2500
Hg 0.2197 0.4005 0.5335
Br 0.1126 0.2289 0.5739
Br 0.1236 0.1207 0.1400
Br 0.1267 0.4427 0.1710



# 5
The following is a DFT calculation (GGA-PBE) of a relaxed GaSn2Bi2 crystal.

Electronic total energy in eV/atom: -3.5793
Energy of formation from the pure elements in eV/atom: 0.180
Magnetic moment in Bohr magnetons per cell: 0.0
N(E_F) in states/eV/f.u.: 2.498
Crystal system: tetragonal

Lattice parameters (Å, degrees): 4.2334 4.2334 17.0286 90.00 90.00 90.00
Space group I4/mmm (No. 139)
Asymmetric unit:
Ga 0.0000 0.0000 0.0000
Sn 0.0000 0.5000 0.2500
Bi 0.0000 0.0000 0.4078



# 6
The following is a DFT calculation (GGA-PBE) of a relaxed Sr5Ga3 crystal.

Electronic total energy in eV/atom: -2.5038
Energy of formation from the pure elements in eV/atom: -0.318
Magnetic moment in Bohr magnetons per cell: 0.0
N(E_F) in states/eV/f.u.: 6.888
Crystal system: tetragonal

Lattice parameters (Å, degrees): 8.3787 8.3787 16.3171 90.00 90.00 90.00
Space group P4/ncc (No. 130, origin choice 2)
Asymmetric unit:
Sr 0.0664 0.5756 0.1057
Sr 0.2500 0.2500 0.2418
Ga 0.1446 0.6446 0.7500
Ga 0.2500 0.2500 0.0063



# 7
The following is a DFT calculation (GGA-PBE) of a relaxed LaErZr crystal.

Electronic total energy in eV/atom: -5.8972
Energy of formation from the pure elements in eV/atom: 0.116
Magnetic moment in Bohr magnetons per cell: 0.0
N(E_F) in states/eV/f.u.: 3.606
Crystal system: trigonal

Lattice parameters (Å, degrees): 3.4543 3.4543 8.4908 90.00 90.00 120.00
Space group P3m1 (No. 156)
Asymmetric unit:
La 0.0000 0.0000 0.0000
Er 0.3333 0.6667 0.6291
Zr 0.6667 0.3333 0.3226



# 8
The following is a DFT calculation (GGA-PBE) of a relaxed Tb12Y7In crystal.

Electronic total energy in eV/atom: -5.0236
Energy of formation from the pure elements in eV/atom: 0.154
Magnetic moment in Bohr magnetons per cell: 5.4
N(E_F) in states/eV/f.u.: 36.398
Crystal system: trigonal

Lattice parameters (Å, degrees): 12.1663 12.1663 15.1602 90.00 90.00 120.00
Space group R-3 (No. 148, hexagonal axes)
Asymmetric unit:
Tb 0.0298 0.5786 0.2074
Tb 0.0587 0.4713 0.5869
Y 0.0000 0.0000 0.0000
Y 0.0483 0.8622 0.3038
In 0.0000 0.0000 0.5000



# 9
The following is a DFT calculation (GGA-PBE) of a relaxed Rb2InH3 crystal.

Electronic total energy in eV/atom: -2.3411
Magnetic moment in Bohr magnetons per cell: 0.0
N(E_F) in states/eV/f.u.: 1.770
Crystal system: orthorhombic

Lattice parameters (Å, degrees): 7.7080 10.1560 17.3643 90.00 90.00 90.00
Space group Fmmm (No. 69)
Asymmetric unit:
Rb 0.0000 0.1855 0.0000
Rb 0.2500 0.2500 0.2500
In 0.0000 0.0000 0.3746
H 0.0000 0.0000 0.2717
H 0.2071 0.0000 0.4176



# 10
The following is a DFT calculation (GGA-PBE) of a relaxed Rb5Na2Au crystal.

Electronic total energy in eV/atom: -1.3964
Energy of formation from the pure elements in eV/atom: -0.052
Magnetic moment in Bohr magnetons per cell: 0.0
N(E_F) in states/eV/f.u.: 5.278
Crystal system: orthorhombic

Lattice parameters (Å, degrees): 4.8712 14.1204 28.1905 90.00 90.00 90.00
Space group Cmcm (No. 63)
Asymmetric unit:
Rb 0.0000 0.0025 0.2500
Rb 0.0000 0.1345 0.5468
Rb 0.0000 0.4012 0.6290
Na 0.0000 0.2864 0.1914
Au 0.0000 0.2916 0.7500



# 11
The following is a DFT calculation (GGA-PBE) of a relaxed LaSe2Br crystal.

Electronic total energy in eV/atom: -4.5710
ΔE_f (raw) in eV/f.u.: -4.7
Magnetic moment in Bohr magnetons per cell: 0.0
N(E_F) in states/eV/f.u.: 0.920
Crystal system: tetragonal

Lattice parameters (Å, degrees): 4.3621 4.3621 10.3528 90.00 90.00 90.00
Space group I4/mmm (No. 139)
Asymmetric unit:
La 0.0000 0.0000 0.0000
Se 0.0000 0.5000 0.2500
Br 0.0000 0.0000 0.5000